*A*
PrY6In | PBE | optimized geometry

Cell lengths 4.943, 4.943, 10.166 Å; angles 90.00, 90.00, 90.00 degrees
Sites, in units of the cell vectors:
Pr 0.000 0.000 0.000
Y 0.000 0.500 0.260
Y 0.000 0.500 0.740
Y 0.500 0.000 0.260
Y 0.500 0.000 0.740
Y 0.500 0.500 0.000
Y 0.500 0.500 0.500
In 0.000 0.000 0.500

space group = No. 123
density of states at the Fermi level = 10.2 states/eV/f.u.



*B*
PrY6In | PBE | optimized geometry

Cell lengths 6.359, 6.359, 6.359 Å; angles 94.23, 94.23, 94.23 degrees
Sites, in units of the cell vectors:
Pr 0.000 0.000 0.000
Y 0.043 0.260 0.536
Y 0.260 0.536 0.043
Y 0.464 0.957 0.740
Y 0.536 0.043 0.260
Y 0.740 0.464 0.957
Y 0.957 0.740 0.464
In 0.500 0.500 0.500

space group = No. 148
density of states at the Fermi level = 11.2 states/eV/f.u.



Computed energies relative to the best structure, in meV per atom: *A* 0; *B* 90



*A*
Pr4YIn2 | PBE | optimized geometry

Cell lengths 6.511, 6.511, 7.031 Å; angles 91.83, 91.83, 48.95 degrees
Sites, in units of the cell vectors:
Pr 0.000 0.000 0.000
Pr 0.301 0.301 0.166
Pr 0.589 0.589 0.323
Pr 0.694 0.694 0.832
Y 0.901 0.901 0.489
In 0.171 0.171 0.574
In 0.410 0.410 0.733

space group = No. 8
density of states at the Fermi level = 7.1 states/eV/f.u.



*B*
Pr4YIn2 | PBE | optimized geometry

Cell lengths 9.293, 9.293, 5.604 Å; angles 90.00, 90.00, 90.00 degrees
Sites, in units of the cell vectors:
Pr 0.075 0.324 0.000
Pr 0.176 0.575 0.500
Pr 0.324 0.075 0.000
Pr 0.425 0.824 0.500
Pr 0.575 0.176 0.500
Pr 0.676 0.925 0.000
Pr 0.824 0.425 0.500
Pr 0.925 0.676 0.000
Y 0.000 0.000 0.500
Y 0.500 0.500 0.000
In 0.237 0.237 0.500
In 0.263 0.737 0.000
In 0.737 0.263 0.000
In 0.763 0.763 0.500

space group = No. 136
density of states at the Fermi level = 7.1 states/eV/f.u.



Computed energies relative to the best structure, in meV per atom: *A* 0; *B* 144



*A*
Pr3Y4In | PBE | optimized geometry

Cell lengths 13.364, 13.364, 5.865 Å; angles 98.19, 98.19, 14.95 degrees
Sites, in units of the cell vectors:
Pr 0.000 0.000 0.000
Pr 0.151 0.151 0.198
Pr 0.849 0.849 0.802
Y 0.099 0.099 0.662
Y 0.283 0.283 0.268
Y 0.717 0.717 0.732
Y 0.901 0.901 0.338
In 0.500 0.500 0.500

space group = No. 12
density of states at the Fermi level = 13.3 states/eV/f.u.



*B*
Pr3Y4In | PBE | optimized geometry

Cell lengths 11.416, 7.180, 6.294 Å; angles 90.00, 90.00, 90.00 degrees
Sites, in units of the cell vectors:
Pr 0.000 0.127 0.000
Pr 0.238 0.114 0.345
Pr 0.262 0.886 0.845
Pr 0.500 0.873 0.500
Pr 0.738 0.886 0.845
Pr 0.762 0.114 0.345
Y 0.000 0.377 0.539
Y 0.000 0.629 0.020
Y 0.239 0.623 0.365
Y 0.261 0.377 0.865
Y 0.500 0.371 0.520
Y 0.500 0.623 0.039
Y 0.739 0.377 0.865
Y 0.761 0.623 0.365
In 0.000 0.857 0.526
In 0.500 0.143 0.026

space group = No. 31
density of states at the Fermi level = 9.1 states/eV/f.u.



Computed energies relative to the best structure, in meV per atom: *A* 168; *B* 0